Ti3Ni2H4, relaxed, DFT GGA-PBE; energy = -5.659 eV per atom
1.0
-1.659 2.926 4.220
1.659 -2.926 4.220
1.659 2.926 -4.220
Ti Ni H
3 2 4
Direct
0.000 0.000 0.000
0.289 0.789 0.500
0.711 0.211 0.500
0.294 0.500 0.794
0.706 0.500 0.206
0.120 0.305 0.815
0.489 0.305 0.185
0.511 0.695 0.815
0.880 0.695 0.185